Computed, not measured: a relaxed CrP2S2 crystal at the PBE level of DFT.

Unit cell a=4.5198 b=4.5198 c=4.4519 alpha=90.00 beta=90.00 gamma=90.00
Closest atoms and distances in Å follow each position.
Space group P4/mmm (No. 123)
One atom of each set of equivalent atoms:
Cr1 0.0000 0.0000 0.0000 x1  8 P 3.17, 4 S 3.20
P1 0.0000 0.5000 0.5000 x2  2 S 2.26
S1 0.5000 0.5000 0.0000 x1  2 S 2.23
S2 0.5000 0.5000 0.5000 x1  2 S 2.23, 4 P 2.26

Results
For the formation energy without anion corrections, the calculation gives 4.6 eV/f.u. For the total moment, the calculation gives 3.098 μB/f.u. Its energy above the most stable polymorph in this dataset is 0.430 eV per atom.